DFT (GGA+U) results for an optimized crystal structure of CaMn2O4.

Results
Total moment = 8.0 μB/f.u.
Energy relative to the lowest polymorph listed for this composition = 0.274 eV per formula unit
Mass density = 4.5 g/cm³

Cell and atoms, written as POSCAR:
```
CaMn2O4
1.0
3.147 -0.001 0.000
-1.577 5.073 0.000
0.000 0.000 9.799
Ca Mn O
2 4 8
Direct
0.603 0.205 0.250
0.397 0.795 0.750
0.137 0.274 0.569
0.863 0.726 0.431
0.137 0.274 0.931
0.863 0.726 0.069
0.775 0.551 0.893
0.225 0.449 0.107
0.500 0.000 0.500
0.225 0.449 0.393
0.500 0.000 0.000
0.775 0.551 0.607
0.937 0.874 0.250
0.063 0.126 0.750
```